1.
Computed, not measured: CaAs2Pt after structural relaxation at the GGA-PBE level of DFT.

Computed properties:
volume: 21.41 Å³/atom
uncorrected energy: -19.70 eV for the cell shown
magnetic moment: 0.0 Bohr magnetons per cell

```
CaAs2Pt
1.0
-4.738 0.266 1.915
-2.158 -1.355 -4.437
3.151 -2.309 3.306
As Ca Pt
2 1 1
direct
0.046 0.046 0.000
0.454 0.454 0.000
0.750 0.250 0.500
0.250 0.750 0.500
```

***

2.
Computed, not measured: Ca3As4Pt2 after structural relaxation at the GGA-PBE level of DFT.

Computed properties:
volume: 22.21 Å³/atom
uncorrected energy: -44.96 eV for the cell shown
magnetic moment: 0.0 Bohr magnetons per cell

```
Ca3As4Pt2
1.0
-1.135 1.257 4.084
-4.436 -2.940 -2.722
4.177 -6.415 3.136
Ca As Pt
3 4 2
direct
0.663 0.327 0.664
0.000 0.000 0.000
0.337 0.673 0.336
0.733 0.466 0.070
0.267 0.534 0.930
0.937 0.874 0.613
0.063 0.126 0.387
0.604 0.208 0.280
0.396 0.792 0.720
```

***

3.
Computed, not measured: Ca2AsPt2 after structural relaxation at the GGA-PBE level of DFT.

Computed properties:
volume: 23.10 Å³/atom
polymorph energy (0 for the lowest one): 0.238 eV per atom
magnetic moment: 0.0 Bohr magnetons per cell

```
Ca2AsPt2
1.0
-2.804 -2.257 -0.964
1.122 0.123 -3.552
4.031 -7.679 -0.946
As Ca Pt
1 2 2
direct
0.000 0.000 0.000
0.393 0.393 0.214
0.607 0.607 0.786
0.750 0.250 0.500
0.250 0.750 0.500
```

***

4.
Computed, not measured: CaAsPt after structural relaxation at the GGA-PBE level of DFT.

Computed properties:
volume: 22.33 Å³/atom
uncorrected energy: -14.88 eV for the cell shown
magnetic moment: 0.0 Bohr magnetons per cell

```
CaAsPt
1.0
4.559 0.000 0.000
2.279 3.948 0.000
2.279 1.316 3.722
As Ca Pt
1 1 1
direct
0.000 0.000 0.000
0.500 0.500 0.500
0.750 0.750 0.750
```

***

5.
Computed, not measured: CaAsPt2 after structural relaxation at the GGA-PBE level of DFT.

Computed properties:
volume: 18.02 Å³/atom
uncorrected energy: -20.82 eV for the cell shown
magnetic moment: 0.0 Bohr magnetons per cell

```
CaAsPt2
1.0
-1.098 -2.654 -3.066
3.706 0.632 -1.874
1.599 -3.106 2.116
As Ca Pt
1 1 2
direct
0.500 0.000 0.500
0.000 0.500 0.500
0.000 0.000 0.000
0.500 0.500 0.000
```

***

6.
Computed, not measured: CaAsPt2 after structural relaxation at the GGA-PBE level of DFT.

Computed properties:
volume: 25.52 Å³/atom
uncorrected energy: -42.02 eV for the cell shown
magnetic moment: 0.0 Bohr magnetons per cell

```
CaAsPt2
1.0
4.994 0.000 0.000
0.000 4.994 0.000
2.497 2.497 8.186
As Ca Pt
2 2 4
direct
0.000 0.000 0.000
0.750 0.250 0.500
0.500 0.500 0.000
0.250 0.750 0.500
0.810 0.125 0.250
0.940 0.625 0.250
0.375 0.190 0.750
0.875 0.060 0.750
```

***

7.
Computed, not measured: CaAsPt2 after structural relaxation at the GGA-PBE level of DFT.

Computed properties:
volume: 18.29 Å³/atom
uncorrected energy: -20.78 eV for the cell shown
magnetic moment: 0.0 Bohr magnetons per cell

```
CaAsPt2
1.0
5.276 -0.005 0.002
2.043 4.864 -0.002
-3.300 -2.970 2.849
As Ca Pt
1 1 2
direct
0.750 0.250 0.500
0.250 0.750 0.500
0.973 0.973 0.000
0.527 0.527 0.000
```

***

8.
Computed, not measured: CaAs2Pt after structural relaxation at the GGA-PBE level of DFT.

Computed properties:
volume: 20.91 Å³/atom
uncorrected energy: -20.25 eV for the cell shown
magnetic moment: 0.0 Bohr magnetons per cell

```
CaAs2Pt
1.0
4.029 0.001 0.005
2.016 3.488 0.005
2.001 1.155 5.957
As Ca Pt
2 1 1
direct
0.021 0.021 0.939
0.479 0.479 0.561
0.250 0.250 0.250
0.750 0.750 0.750
```

***

9.
Computed, not measured: CaAsPt2 after structural relaxation at the GGA-PBE level of DFT.

Computed properties:
volume: 18.88 Å³/atom
uncorrected energy: -20.51 eV for the cell shown
magnetic moment: 0.0 Bohr magnetons per cell

```
CaAsPt2
1.0
3.253 -0.003 0.000
0.002 3.253 0.000
0.000 0.000 7.135
As Ca Pt
1 1 2
direct
0.500 0.500 0.250
0.500 0.500 0.750
0.000 0.000 0.040
0.000 0.000 0.460
```

***

10.
Computed, not measured: Ca2AsPt2 after structural relaxation at the GGA-PBE level of DFT.

Computed properties:
volume: 21.96 Å³/atom
polymorph energy (0 for the lowest one): 0.574 eV per atom
magnetic moment: 0.0 Bohr magnetons per cell

```
Ca2AsPt2
1.0
8.454 0.000 0.000
0.000 8.454 0.000
0.000 0.000 3.072
As Ca Pt
2 4 4
direct
0.000 0.000 0.000
0.500 0.500 0.000
0.327 0.827 0.000
0.827 0.673 0.000
0.673 0.173 0.000
0.173 0.327 0.000
0.121 0.621 0.500
0.621 0.879 0.500
0.879 0.379 0.500
0.379 0.121 0.500
```

***

11.
Computed, not measured: CaAsPt2 after structural relaxation at the GGA-PBE level of DFT.

Computed properties:
volume: 18.08 Å³/atom
uncorrected energy: -20.31 eV for the cell shown
magnetic moment: 0.0 Bohr magnetons per cell

```
CaAsPt2
1.0
5.726 -0.015 0.000
-2.170 4.508 0.005
0.744 0.367 2.806
As Ca Pt
1 1 2
direct
0.500 0.500 0.000
0.500 0.000 0.500
0.000 0.000 0.000
0.000 0.500 0.500
```

***

12.
Computed, not measured: CaPuAsPt after structural relaxation at the GGA-PBE level of DFT.

Computed properties:
volume: 22.34 Å³/atom
uncorrected energy: -30.33 eV for the cell shown
magnetic moment: 5.0 Bohr magnetons per cell

```
CaPuAsPt
1.0
5.019 0.000 0.000
2.509 4.346 0.000
2.509 1.449 4.098
As Ca Pt Pu
1 1 1 1
direct
0.750 0.750 0.750
0.500 0.500 0.500
0.250 0.250 0.250
0.000 0.000 0.000
```